[1]
# PBE BaLaPr2Tl4, optimized geometry
# Total magnetic moment: 0.00 μB per formula unit
# Fermi-level density of states: 23.518 states/eV/cell
# Formation energy: -0.35 eV/atom
data_BaLaPr2Tl4
_chemical_formula_sum 'Ba3 La3 Pr6 Tl12'
_symmetry_space_group_name_H-M 'R -3 m'
_symmetry_Int_Tables_number 166
_symmetry_space_group_name_Hall '-R 3 2"'
_cell_length_a 5.7020
_cell_length_b 5.7020
_cell_length_c 28.0102
_cell_angle_alpha 90.00
_cell_angle_beta 90.00
_cell_angle_gamma 120.00
loop_
_atom_site_label
_atom_site_fract_x
_atom_site_fract_y
_atom_site_fract_z
Ba1 0.0000 0.0000 0.0000
La1 0.0000 0.0000 0.5000
Pr1 0.0000 0.0000 0.2520
Tl1 0.0000 0.0000 0.1285
Tl2 0.0000 0.0000 0.3800



[2]
# PBE ErSi4Pt2, optimized geometry
# Total magnetic moment: 0.00 μB per formula unit
# Fermi-level density of states: 11.418 states/eV/cell
# Uncorrected formation energy: -436 kJ/mol of formula units
data_ErSi4Pt2
_chemical_formula_sum 'Er4 Si16 Pt8'
_symmetry_space_group_name_H-M 'P n m a'
_symmetry_Int_Tables_number 62
_symmetry_space_group_name_Hall '-P 2ac 2n'
_cell_length_a 16.425
_cell_length_b 4.246
_cell_length_c 6.580
_cell_angle_alpha 90.00
_cell_angle_beta 90.00
_cell_angle_gamma 90.00
loop_
_atom_site_label
_atom_site_fract_x
_atom_site_fract_y
_atom_site_fract_z
Er1 0.143 0.250 0.024
Si1 0.041 0.750 0.858
Si2 0.063 0.250 0.461
Si3 0.178 0.750 0.340
Si4 0.189 0.750 0.741
Pt1 0.027 0.750 0.239
Pt2 0.213 0.250 0.551



[3]
# PBE Pr3CdSi2Pt9, optimized geometry
# Total magnetic moment: 0.00 μB per formula unit
# Fermi-level density of states: 5.590 states/eV/cell
# Uncorrected formation energy: -1078 kJ/mol of formula units
data_Pr3CdSi2Pt9
_chemical_formula_sum 'Pr3 Cd1 Si2 Pt9'
_symmetry_space_group_name_H-M 'P -3 m 1'
_symmetry_Int_Tables_number 164
_symmetry_space_group_name_Hall '-P 3 2"'
_cell_length_a 5.7704
_cell_length_b 5.7704
_cell_length_c 11.0724
_cell_angle_alpha 90.00
_cell_angle_beta 90.00
_cell_angle_gamma 120.00
loop_
_atom_site_label
_atom_site_fract_x
_atom_site_fract_y
_atom_site_fract_z
Pr1 0.0000 0.0000 0.0000
Pr2 0.3333 0.6667 0.6057
Cd1 0.0000 0.0000 0.5000
Si1 0.3333 0.6667 0.1573
Pt1 0.0000 0.5000 0.0000
Pt2 0.1616 0.3232 0.3009



[4]
# PBE Ac2AgAs, optimized geometry
# Total magnetic moment: 0.00 μB per formula unit
# Fermi-level density of states: 5.952 states/eV/cell
# Distance to the lowest polymorph of the same formula: 0.000 eV/atom
# Formation energy: -0.75 eV/atom
data_Ac2AgAs
_chemical_formula_sum 'Ac6 Ag3 As3'
_symmetry_space_group_name_H-M 'R 3 m'
_symmetry_Int_Tables_number 160
_symmetry_space_group_name_Hall 'R 3 -2"'
_cell_length_a 4.3993
_cell_length_b 4.3993
_cell_length_c 24.3586
_cell_angle_alpha 90.00
_cell_angle_beta 90.00
_cell_angle_gamma 120.00
loop_
_atom_site_label
_atom_site_fract_x
_atom_site_fract_y
_atom_site_fract_z
Ac1 0.0000 0.0000 0.0000
Ac2 0.0000 0.0000 0.1799
Ag1 0.0000 0.0000 0.4227
As1 0.0000 0.0000 0.5892



[5]
# PBE LiSc2Tl, optimized geometry
# Total magnetic moment: 0.00 μB per formula unit
# Fermi-level density of states: 8.805 states/eV/cell
# Formation energy: 0.23 eV/atom
data_LiSc2Tl
_chemical_formula_sum 'Li2 Sc4 Tl2'
_symmetry_space_group_name_H-M 'I m m m'
_symmetry_Int_Tables_number 71
_symmetry_space_group_name_Hall '-I 2 2'
_cell_length_a 3.219
_cell_length_b 5.154
_cell_length_c 12.018
_cell_angle_alpha 90.00
_cell_angle_beta 90.00
_cell_angle_gamma 90.00
loop_
_atom_site_label
_atom_site_fract_x
_atom_site_fract_y
_atom_site_fract_z
Li1 0.000 0.000 0.000
Sc1 0.000 0.000 0.250
Tl1 0.000 0.000 0.500



[6]
# PBE Nb2Ga2Pd, optimized geometry
# Total magnetic moment: 0.00 μB per formula unit
# Fermi-level density of states: 13.685 states/eV/cell
# Distance to the lowest polymorph of the same formula: 0.504 eV/atom
# Formation energy: 0.18 eV/atom
data_Nb2Ga2Pd
_chemical_formula_sum 'Nb4 Ga4 Pd2'
_symmetry_space_group_name_H-M 'I 4/m m m'
_symmetry_Int_Tables_number 139
_symmetry_space_group_name_Hall '-I 4 2'
_cell_length_a 3.615
_cell_length_b 3.615
_cell_length_c 13.750
_cell_angle_alpha 90.00
_cell_angle_beta 90.00
_cell_angle_gamma 90.00
loop_
_atom_site_label
_atom_site_fract_x
_atom_site_fract_y
_atom_site_fract_z
Nb1 0.000 0.000 0.094
Ga1 0.000 0.500 0.250
Pd1 0.000 0.000 0.500



[7]
# PBE CaPr4Dy3, optimized geometry
# Total magnetic moment: 0.00 μB per formula unit
# Fermi-level density of states: 18.019 states/eV/cell
# Formation energy: 0.04 eV/atom
data_CaPr4Dy3
_chemical_formula_sum 'Ca2 Pr8 Dy6'
_symmetry_space_group_name_H-M 'P m n a'
_symmetry_Int_Tables_number 53
_symmetry_space_group_name_Hall '-P 2ac 2'
_cell_length_a 7.305
_cell_length_b 7.326
_cell_length_c 10.309
_cell_angle_alpha 90.00
_cell_angle_beta 90.00
_cell_angle_gamma 90.00
loop_
_atom_site_label
_atom_site_fract_x
_atom_site_fract_y
_atom_site_fract_z
Ca1 0.000 0.000 0.000
Pr1 0.000 0.000 0.500
Pr2 0.000 0.500 0.500
Pr3 0.250 0.256 0.250
Dy1 0.000 0.500 0.000
Dy2 0.250 0.259 0.750



[8]
# PBE Sr2BeW, optimized geometry
# Total magnetic moment: 0.00 μB per formula unit
# Fermi-level density of states: 9.523 states/eV/cell
# Formation energy: 0.89 eV/atom
data_Sr2BeW
_chemical_formula_sum 'Sr4 Be2 W2'
_symmetry_space_group_name_H-M 'C 1 m 1'
_symmetry_Int_Tables_number 8
_symmetry_space_group_name_Hall 'C -2y'
_cell_length_a 11.904
_cell_length_b 3.184
_cell_length_c 5.652
_cell_angle_alpha 90.00
_cell_angle_beta 111.14
_cell_angle_gamma 90.00
loop_
_atom_site_label
_atom_site_fract_x
_atom_site_fract_y
_atom_site_fract_z
Sr1 0.000 0.000 0.000
Sr2 0.194 0.000 0.633
Be1 0.431 0.000 0.448
W1 0.283 0.500 0.214



- Look up the Fermi-level density of states of the sixth one.
  13.685 states/eV/cell



- What is the total magnetic moment in the second record?
  0.00 μB per formula unit